[1]
An optimized crystal structure of GaCo3, computed with PBE-GGA.

The total energy is -6.17 eV per atom. Its total magnetic moment is 7.56 Bohr magnetons per cell.

The structure belongs to space group P6_3/mmc (No. 194); the cell edges are 5.0787, 5.0787 and 4.1105 Å and the angles 90.00°, 90.00° and 120.00°. The asymmetric unit holds Ga at (0.3333, 0.6667, 0.2500) and Co at (0.1656, 0.3312, 0.7500).


[2]
An optimized crystal structure of GaCo4, computed with PBE-GGA.

The total energy is -5.05 eV per atom. Its total magnetic moment is 6.29 Bohr magnetons per cell.

The structure belongs to space group Pm-3m (No. 221); the cell edges are 4.2680, 4.2680 and 4.2680 Å and the angles 90.00°, 90.00° and 90.00°. The asymmetric unit holds Ga at (0.0000, 0.0000, 0.0000), Co at (0.0000, 0.0000, 0.5000) and Co at (0.5000, 0.5000, 0.5000).


[3]
An optimized crystal structure of Ga3Co, computed with PBE-GGA.

The total energy is -4.31 eV per atom. Its total magnetic moment is 0.00 Bohr magnetons per cell.

The structure belongs to space group P4_2/mnm (No. 136); the cell edges are 6.2610, 6.2610 and 6.4560 Å and the angles 90.00°, 90.00° and 90.00°. The asymmetric unit holds Ga at (0.0000, 0.5000, 0.0000), Ga at (0.1516, 0.1516, 0.2447) and Co at (0.1547, 0.8453, 0.0000).


[4]
An optimized crystal structure of Ga3Co, computed with PBE-GGA.

The total energy is -4.05 eV per atom. Its total magnetic moment is 0.00 Bohr magnetons per cell.

The structure belongs to space group Pmm2 (No. 25); the cell edges are 2.7787, 2.8445 and 8.0214 Å and the angles 90.00°, 90.00° and 90.00°. The asymmetric unit holds Ga at (0.0000, 0.0000, 0.0000), Ga at (0.0000, 0.5000, 0.4234), Ga at (0.5000, 0.5000, 0.7299) and Co at (0.5000, 0.0000, 0.2473).


[5]
An optimized crystal structure of GaCo4, computed with PBE-GGA.

The total energy is -6.35 eV per atom. Its total magnetic moment is 22.00 Bohr magnetons per cell.

The structure belongs to space group P-1 (No. 2); the cell edges are 4.3757, 6.6689 and 8.7394 Å and the angles 102.31°, 99.59° and 109.00°. The asymmetric unit holds Ga at (0.2056, 0.1496, 0.3735), Ga at (0.2117, 0.6601, 0.1318), Co at (0.0030, 0.2492, 0.1244), Co at (0.0025, 0.7457, 0.3783), Co at (0.1911, 0.6411, 0.6262), Co at (0.1939, 0.1446, 0.8781), Co at (0.3925, 0.0477, 0.6239), Co at (0.4037, 0.5474, 0.3754), Co at (0.4058, 0.5545, 0.8756) and Co at (0.4159, 0.0569, 0.1215).


[6]
An optimized crystal structure of GaCo5, computed with PBE-GGA.

The total energy is -6.49 eV per atom. Its total magnetic moment is 14.06 Bohr magnetons per cell.

The structure belongs to space group C2/m (No. 12); the cell edges are 7.9219, 3.5605 and 5.0437 Å and the angles 90.00°, 107.98° and 90.00°. The asymmetric unit holds Ga at (0.0000, 0.0000, 0.0000), Co at (0.0000, 0.0000, 0.5000), Co at (0.1644, 0.5000, 0.8273) and Co at (0.1731, 0.5000, 0.3433).


[7]
An optimized crystal structure of Ga6Co, computed with PBE-GGA.

The total energy is -3.65 eV per atom. Its total magnetic moment is 0.00 Bohr magnetons per cell.

The structure belongs to space group Cmcm (No. 63); the cell edges are 7.2588, 7.0797 and 8.8410 Å and the angles 90.00°, 90.00° and 90.00°. The asymmetric unit holds Ga at (0.0000, 0.1582, 0.0950), Ga at (0.1807, 0.2097, 0.7500), Ga at (0.1848, 0.5000, 0.0000) and Co at (0.0000, 0.4723, 0.2500).


[8]
An optimized crystal structure of Ga2Co3, computed with PBE-GGA.

The total energy is -5.67 eV per atom. Its total magnetic moment is 4.55 Bohr magnetons per cell.

The structure belongs to space group P4/mmm (No. 123); the cell edges are 2.8419, 2.8419 and 14.6205 Å and the angles 90.00°, 90.00° and 90.00°. The asymmetric unit holds Ga at (0.0000, 0.0000, 0.1009), Ga at (0.0000, 0.0000, 0.3030), Co at (0.0000, 0.0000, 0.5000), Co at (0.5000, 0.5000, 0.0000), Co at (0.5000, 0.5000, 0.2007) and Co at (0.5000, 0.5000, 0.4038).


Number 1: DFT formation energy -0.087 eV/atom. Number 2: DFT formation energy 1.242 eV/atom. Number 3: DFT formation energy -0.267 eV/atom. Number 4: DFT formation energy -0.006 eV/atom. Number 5: DFT formation energy -0.062 eV/atom. Number 6: DFT formation energy -0.060 eV/atom. Number 7: DFT formation energy -0.043 eV/atom. Number 8: DFT formation energy -0.193 eV/atom.